Entry 1:
Computed, not measured: a relaxed structure of PmYSn at the PBE level of DFT.

```
PmYSn
1.0
3.593 0.000 0.000
-1.797 5.491 -2.410
0.000 -7.061 12.748
Pm Y Sn
2 2 2
Direct
0.812 0.625 0.173
0.188 0.375 0.827
0.775 0.550 0.411
0.225 0.450 0.589
0.972 0.944 0.877
0.028 0.056 0.123
```

Output
Its magnetic moment is 0.00 μB/f.u. As for the final energy: -5.42 eV/atom.

---

Entry 2:
Computed, not measured: a relaxed structure of LaRe2Ni at the PBE level of DFT.

```
LaRe2Ni
1.0
3.121 0.000 0.000
0.000 3.121 0.000
0.000 0.000 7.410
La Ni Re
1 1 2
Direct
0.000 0.000 0.504
0.500 0.500 0.809
0.000 0.000 0.000
0.500 0.500 0.187
```

Output
Its magnetic moment is 0.52 μB/f.u. As for the final energy: -8.74 eV/atom.

---

Entry 3:
Computed, not measured: a relaxed structure of CrCdOs2 at the PBE level of DFT.

```
CrCdOs2
1.0
4.904 -0.011 0.019
4.110 2.676 0.019
1.169 0.346 4.633
Cd Cr Os
1 1 2
Direct
0.750 0.750 0.750
0.250 0.250 0.250
0.975 0.975 0.035
0.525 0.525 0.465
```

Output
Its magnetic moment is 1.16 μB/f.u. As for the final energy: -7.83 eV/atom.

---

Entry 4:
Computed, not measured: a relaxed structure of ScPaCdGa at the PBE level of DFT.

```
ScPaCdGa
1.0
-2.440 -2.458 -3.662
2.530 -1.695 -4.017
0.716 -4.951 -0.623
Sc Pa Ga Cd
1 1 1 1
Direct
0.500 0.500 0.500
0.000 0.000 0.000
0.250 0.250 0.250
0.750 0.750 0.750
```

Output
Its magnetic moment is 0.74 μB/f.u. As for the final energy: -5.03 eV/atom.

---

Entry 5:
Computed, not measured: a relaxed structure of LiPbW2 at the PBE level of DFT.

```
LiPbW2
1.0
3.344 0.000 0.000
0.000 3.344 0.000
0.000 0.000 6.272
Li Pb W
1 1 2
Direct
0.000 0.000 0.489
0.500 0.500 0.729
0.000 0.000 0.044
0.500 0.500 0.239
```

Output
Its magnetic moment is 0.00 μB/f.u. As for the final energy: -7.48 eV/atom.

---

Entry 6:
Computed, not measured: a relaxed structure of YBr2N at the PBE level of DFT.

```
YBr2N
1.0
2.482 0.000 10.532
-1.241 2.149 10.532
-1.241 -2.149 10.532
Y Br N
1 2 1
Direct
0.000 0.000 0.000
0.918 0.918 0.918
0.082 0.082 0.082
0.500 0.500 0.500
```

Output
Its magnetic moment is 3.33 μB/f.u. As for the final energy: -3.90 eV/atom. The calculation puts the uncorrected formation energy at 0.6351 eV per atom.

---

Entry 7:
Computed, not measured: a relaxed structure of Dy2CBr2 at the PBE level of DFT.

```
Dy2CBr2
1.0
3.659 0.000 0.574
1.784 3.194 0.574
0.120 0.071 11.176
Dy C Br
2 1 2
Direct
0.375 0.375 0.876
0.625 0.625 0.124
0.000 0.000 0.000
0.897 0.897 0.308
0.103 0.103 0.692
```

Output
Its magnetic moment is 0.00 μB/f.u. As for the final energy: -5.55 eV/atom. The calculation puts the uncorrected formation energy at -1.1925 eV per atom.

---

Entry 8:
Computed, not measured: a relaxed structure of K3Nb8O10F4 at the PBE level of DFT.

```
K3Nb8O10F4
1.0
-3.019 -2.902 -0.069
2.633 -2.696 -1.827
6.474 -7.212 19.967
K Nb O F
3 8 10 4
Direct
0.500 0.500 0.687
0.500 0.500 0.300
0.000 0.000 0.814
0.000 0.000 0.594
0.000 0.000 0.409
0.000 0.500 0.999
0.500 0.000 0.999
0.500 0.500 0.907
0.500 0.500 0.097
0.000 0.500 0.502
0.500 0.000 0.502
0.000 0.500 0.598
0.500 0.000 0.598
0.000 0.500 0.407
0.500 0.000 0.407
0.500 0.500 0.503
0.500 0.000 0.902
0.000 0.500 0.902
0.500 0.000 0.093
0.000 0.500 0.093
0.000 0.000 0.998
0.000 0.000 0.694
0.000 0.000 0.314
0.500 0.500 0.807
0.500 0.500 0.187
```

Output
Its magnetic moment is 0.00 μB/f.u. As for the final energy: -8.00 eV/atom. The calculation puts the uncorrected formation energy at -2.3587 eV per atom.

---

Entry 9:
Computed, not measured: a relaxed structure of RbTl4Cu3Cl12 at the PBE level of DFT.

```
RbTl4Cu3Cl12
1.0
-7.487 -0.877 -4.746
7.004 0.136 -5.502
0.773 -6.866 5.622
Rb Tl Cu Cl
1 4 3 12
Direct
0.000 0.000 0.000
0.500 0.500 0.500
0.000 0.000 0.500
0.500 0.000 0.000
0.000 0.500 0.000
0.500 0.000 0.500
0.500 0.500 0.000
0.000 0.500 0.500
0.250 0.500 0.750
0.713 0.000 0.713
0.287 0.000 0.287
0.750 0.500 0.250
0.713 0.713 0.000
0.287 0.287 0.000
0.750 0.250 0.500
0.250 0.750 0.500
0.500 0.250 0.750
0.000 0.713 0.713
0.500 0.750 0.250
0.000 0.287 0.287
```

Output
Its magnetic moment is 0.00 μB/f.u. As for the final energy: -3.02 eV/atom. The calculation puts the uncorrected formation energy at -0.7719 eV per atom.

---

Entry 10:
Computed, not measured: a relaxed structure of GdNpTc2 at the PBE level of DFT.

```
GdNpTc2
1.0
-2.691 1.587 1.211
-1.753 0.441 -4.472
-2.278 -4.225 0.476
Np Gd Tc
1 1 2
Direct
0.500 0.500 0.500
0.500 0.000 0.000
0.000 0.000 0.500
0.000 0.500 0.000
```

Output
Its magnetic moment is 9.13 μB/f.u. As for the final energy: -11.76 eV/atom.

---

Entry 11:
Computed, not measured: a relaxed structure of Na2AcHfSe4 at the PBE level of DFT.

```
Na2AcHfSe4
1.0
-0.080 -3.478 -2.225
6.469 -1.941 2.802
-5.413 -2.697 4.410
Na Ac Hf Se
2 1 1 4
Direct
0.500 0.000 0.500
0.000 0.500 0.500
0.000 0.000 0.000
0.500 0.500 0.000
0.500 0.283 0.240
0.500 0.717 0.760
0.000 0.287 0.777
0.000 0.713 0.223
```

Output
Its magnetic moment is 0.00 μB/f.u. As for the final energy: -5.23 eV/atom. The calculation puts the uncorrected formation energy at -1.4048 eV per atom.

---

Entry 12:
Computed, not measured: a relaxed structure of Li2Ti6Zn3O16 at the PBE level of DFT.

```
Li2Ti6Zn3O16
1.0
8.459 0.000 0.000
0.000 8.471 0.000
-0.066 0.000 8.467
Li Ti Zn O
4 12 6 32
Direct
0.745 0.507 0.502
0.626 0.375 0.125
0.374 0.875 0.875
0.255 0.007 0.498
0.131 0.866 0.135
0.123 0.116 0.860
0.112 0.372 0.612
0.888 0.872 0.388
0.877 0.616 0.140
0.869 0.366 0.865
0.635 0.138 0.382
0.625 0.881 0.630
0.619 0.625 0.876
0.381 0.125 0.124
0.375 0.381 0.370
0.365 0.638 0.618
0.247 0.499 0.996
0.001 0.244 0.245
0.999 0.744 0.755
0.753 0.999 0.004
0.507 0.752 0.252
0.493 0.252 0.748
0.147 0.606 0.641
0.142 0.360 0.393
0.141 0.109 0.113
0.137 0.146 0.647
0.122 0.894 0.889
0.110 0.361 0.864
0.109 0.646 0.112
0.105 0.887 0.357
0.895 0.387 0.643
0.891 0.146 0.888
0.890 0.861 0.136
0.878 0.394 0.111
0.863 0.646 0.353
0.859 0.609 0.887
0.858 0.860 0.607
0.853 0.106 0.359
0.642 0.389 0.872
0.640 0.629 0.104
0.637 0.889 0.391
0.629 0.862 0.858
0.611 0.105 0.610
0.609 0.641 0.643
0.609 0.355 0.377
0.606 0.122 0.138
0.394 0.622 0.862
0.391 0.855 0.623
0.391 0.141 0.357
0.389 0.605 0.390
0.371 0.362 0.142
0.363 0.389 0.609
0.360 0.129 0.896
0.358 0.889 0.128
```

Output
Its magnetic moment is 0.00 μB/f.u. As for the final energy: -7.58 eV/atom. The calculation puts the uncorrected formation energy at -2.6017 eV per atom.

---

Entry 13:
Computed, not measured: a relaxed structure of LiNbCd at the PBE level of DFT.

```
LiNbCd
1.0
-3.289 2.716 1.372
-2.297 2.424 -2.988
-4.270 -1.018 -0.903
Nb Li Cd
1 1 1
Direct
0.750 0.750 0.750
0.250 0.250 0.250
0.000 0.000 0.000
```

Output
Its magnetic moment is 0.00 μB/f.u. As for the final energy: -3.45 eV/atom.

---

Entry 14:
Computed, not measured: a relaxed structure of NpSiC at the PBE level of DFT.

```
NpSiC
1.0
3.851 0.000 0.000
0.000 3.851 0.000
-1.925 -1.925 3.382
Np Si C
1 1 1
Direct
0.598 0.598 0.197
0.993 0.993 0.986
0.258 0.258 0.517
```

Output
Its magnetic moment is 3.08 μB/f.u. As for the final energy: -8.60 eV/atom. The calculation puts the uncorrected formation energy at 0.5970 eV per atom.